Entry from Alexandria via LeMat-Bulk: a relaxed LiThZn4 crystal (GGA-PBE).

Calculated values
total magnetic moment	0.0000	μB/atom
distance to the lowest polymorph of the same formula	0	meV/atom
energy relative to the elements	-156	meV/atom
energy	-15.4	eV for the cell shown

a b c (Å): 5.4059 5.4059 5.4059
angles (deg): 60.00 60.00 60.00
Element x y z (fractional)
Zn  0.6247  0.6247  0.1258
Zn  0.1258  0.6247  0.6247
Li  0.2500  0.2500  0.2500
Zn  0.6247  0.6247  0.6247
Th  0.0000  0.0000  0.0000
Zn  0.6247  0.1258  0.6247